[1]
Li4InPd7 (GGA-PBE, optimized geometry); calculated formation energy = -2.04 eV per formula unit; total magnetization = 0.000 μB/atom; DOS(E_F) = 0.47 states/eV per atom; space-group type = No. 12
1.0
5.0631 -2.4651 0.0000
5.0631 2.4651 0.0000
-4.6397 0.0000 8.0170
Li In Pd
4 1 7
Direct
0.0863 0.0863 0.2666 Li
0.2238 0.2238 0.8150 Li
0.7762 0.7762 0.1850 Li
0.9137 0.9137 0.7334 Li
0.5000 0.5000 0.5000 In
0.0000 0.0000 0.5000 Pd
0.1535 0.1535 0.0397 Pd
0.2896 0.2896 0.5811 Pd
0.4577 0.4577 0.1202 Pd
0.5423 0.5423 0.8798 Pd
0.7104 0.7104 0.4189 Pd
0.8465 0.8465 0.9603 Pd

=====

[2]
Zn3CdGe (GGA-PBE, optimized geometry); calculated formation energy = 1.88 eV per formula unit; total magnetization = 0.000 μB/atom; DOS(E_F) = 0.42 states/eV per atom; excess energy over the best structure of this formula in the dataset = 0.000 eV per atom; space-group type = No. 221
1.0
4.9249 0.0000 0.0000
0.0000 4.9249 0.0000
0.0000 0.0000 4.9249
Zn Cd Ge
3 1 1
Direct
0.0000 0.0000 0.5000 Zn
0.0000 0.5000 0.0000 Zn
0.5000 0.0000 0.0000 Zn
0.5000 0.5000 0.5000 Cd
0.0000 0.0000 0.0000 Ge

=====

[3]
Dy3Ag2Hg4 (GGA-PBE, optimized geometry); calculated formation energy = -3.35 eV per formula unit; total magnetization = 0.000 μB/atom; DOS(E_F) = 0.59 states/eV per atom; excess energy over the best structure of this formula in the dataset = 0.000 eV per atom; space-group type = No. 12
1.0
4.5879 -2.5819 0.0000
4.5879 2.5819 0.0000
-1.2004 0.0000 8.9484
Dy Ag Hg
3 2 4
Direct
0.0000 0.0000 0.0000 Dy
0.3710 0.3710 0.2760 Dy
0.6290 0.6290 0.7240 Dy
0.2813 0.2813 0.5981 Ag
0.7187 0.7187 0.4019 Ag
0.0472 0.0472 0.3447 Hg
0.3212 0.3212 0.9223 Hg
0.6788 0.6788 0.0777 Hg
0.9528 0.9528 0.6553 Hg

=====

[4]
Be2NiBr (GGA-PBE, optimized geometry); total magnetization = 0.000 μB/atom; DOS(E_F) = 0.43 states/eV per atom; excess energy over the best structure of this formula in the dataset = 0.191 eV per atom; formation energy without anion corrections = 0.2545 eV/atom; space-group type = No. 99
1.0
3.0661 0.0000 0.0000
0.0000 3.0661 0.0000
0.0000 0.0000 6.6357
Be Ni Br
2 1 1
Direct
0.0000 0.0000 0.0000 Be
0.5000 0.5000 0.2245 Be
0.5000 0.5000 0.9200 Ni
0.0000 0.0000 0.4073 Br

=====

[5]
MnTlCrCl6 (GGA-PBE, optimized geometry); total magnetization = 0.889 μB/atom; formation energy without anion corrections = -1.0957 eV/atom; space-group type = No. 149
1.0
6.4277 0.0000 0.0000
-3.2139 5.5666 0.0000
0.0000 0.0000 7.1117
Mn Tl Cr Cl
1 1 1 6
Direct
0.0000 0.0000 0.0000 Mn
0.3333 0.6667 0.5000 Tl
0.6667 0.3333 0.0000 Cr
0.3526 0.0477 0.1931 Cl
0.3526 0.3049 0.8069 Cl
0.6951 0.0477 0.8069 Cl
0.6951 0.6474 0.1931 Cl
0.9523 0.3049 0.1931 Cl
0.9523 0.6474 0.8069 Cl

=====

[6]
Na6SnPb (GGA-PBE, optimized geometry); calculated formation energy = -0.85 eV per formula unit; total magnetization = 0.000 μB/atom; DOS(E_F) = 0.71 states/eV per atom; excess energy over the best structure of this formula in the dataset = 0.021 eV per atom; space-group type = No. 2
1.0
6.1570 0.0000 0.0000
-0.1837 6.1569 0.0000
-0.0204 -0.1682 6.1606
Na Sn Pb
6 1 1
Direct
0.9997 0.0028 0.2522 Na
0.0003 0.9972 0.7478 Na
0.2520 0.4971 0.5008 Na
0.4956 0.2478 0.0024 Na
0.5044 0.7522 0.9976 Na
0.7480 0.5029 0.4992 Na
0.5000 0.0000 0.5000 Sn
0.0000 0.5000 0.0000 Pb

=====

[7]
TlFe2Ir (GGA-PBE, optimized geometry); calculated formation energy = 1.89 eV per formula unit; total magnetization = 1.445 μB/atom; DOS(E_F) = 1.20 states/eV per atom; excess energy over the best structure of this formula in the dataset = 0.137 eV per atom; space-group type = No. 225
1.0
6.2383 0.0000 0.0000
0.0000 6.2383 0.0000
0.0000 0.0000 6.2383
Tl Fe Ir
4 8 4
Direct
0.0000 0.0000 0.0000 Tl
0.0000 0.5000 0.5000 Tl
0.5000 0.0000 0.5000 Tl
0.5000 0.5000 0.0000 Tl
0.2500 0.2500 0.2500 Fe
0.2500 0.2500 0.7500 Fe
0.2500 0.7500 0.2500 Fe
0.2500 0.7500 0.7500 Fe
0.7500 0.2500 0.2500 Fe
0.7500 0.2500 0.7500 Fe
0.7500 0.7500 0.2500 Fe
0.7500 0.7500 0.7500 Fe
0.0000 0.0000 0.5000 Ir
0.0000 0.5000 0.0000 Ir
0.5000 0.0000 0.0000 Ir
0.5000 0.5000 0.5000 Ir

=====

[8]
Li2ReSi (GGA-PBE, optimized geometry); total magnetization = 0.000 μB/atom; DOS(E_F) = 0.30 states/eV per atom; formation energy without anion corrections = -0.0566 eV/atom; space-group type = No. 47
1.0
2.8087 0.0000 0.0000
0.0000 4.1278 0.0000
0.0000 0.0000 4.6404
Li Re Si
2 1 1
Direct
0.0000 0.0000 0.0000 Li
0.5000 0.5000 0.0000 Li
0.0000 0.5000 0.5000 Re
0.5000 0.0000 0.5000 Si

=====

[9]
Th5Ga2Tc2 (GGA-PBE, optimized geometry); calculated formation energy = -1.31 eV per formula unit; total magnetization = 0.000 μB/atom; DOS(E_F) = 1.00 states/eV per atom; space-group type = No. 46
1.0
-8.2734 3.9833 3.6865
8.2734 -3.9833 3.6865
8.2734 3.9833 -3.6865
Th Ga Tc
10 4 4
Direct
0.1368 0.0386 0.5983 Th
0.1843 0.0590 0.2433 Th
0.1843 0.4410 0.6253 Th
0.4403 0.5386 0.4017 Th
0.5508 0.0489 0.1987 Th
0.5508 0.8521 0.0019 Th
0.8157 0.5590 0.3747 Th
0.8157 0.9410 0.7567 Th
0.8502 0.3521 0.8013 Th
0.8502 0.5489 0.9981 Th
0.3017 0.4157 0.0352 Ga
0.3017 0.7666 0.3860 Ga
0.3805 0.2666 0.9648 Ga
0.3805 0.9157 0.6140 Ga
0.6842 0.1842 0.5000 Tc
0.6842 0.6842 0.0000 Tc
0.9419 0.7184 0.7235 Tc
0.9949 0.2184 0.2765 Tc

=====

[10]
SrSbW2 (GGA-PBE, optimized geometry); total magnetization = 0.000 μB/atom; DOS(E_F) = 0.97 states/eV per atom; formation energy without anion corrections = 1.0004 eV/atom; space-group type = No. 71
1.0
2.8986 0.0000 0.0000
0.0000 5.3612 0.0000
0.0000 0.0000 11.1747
Sr Sb W
2 2 4
Direct
0.0000 0.0000 0.0000 Sr
0.5000 0.5000 0.5000 Sr
0.0000 0.0000 0.5000 Sb
0.5000 0.5000 0.0000 Sb
0.0000 0.5000 0.2180 W
0.0000 0.5000 0.7820 W
0.5000 0.0000 0.2820 W
0.5000 0.0000 0.7180 W

=====

[11]
FeHS2N (GGA-PBE, optimized geometry); total magnetization = 0.000 μB/atom; DOS(E_F) = 1.24 states/eV per atom; excess energy over the best structure of this formula in the dataset = 0.223 eV per atom; space-group type = No. 123
1.0
4.3713 0.0000 0.0000
0.0000 4.3713 0.0000
0.0000 0.0000 2.5862
Fe H S N
1 1 2 1
Direct
0.0000 0.0000 0.0000 Fe
0.5000 0.5000 0.5000 H
0.0000 0.5000 0.5000 S
0.5000 0.0000 0.5000 S
0.5000 0.5000 0.0000 N

=====

[12]
Ca5PrCd4 (GGA-PBE, optimized geometry); calculated formation energy = -2.53 eV per formula unit; total magnetization = 0.000 μB/atom; DOS(E_F) = 1.26 states/eV per atom; space-group type = No. 123
1.0
3.8038 0.0000 0.0000
0.0000 3.8038 0.0000
0.0000 0.0000 20.9396
Ca Pr Cd
5 1 4
Direct
0.0000 0.0000 0.0000 Ca
0.0000 0.0000 0.1855 Ca
0.0000 0.0000 0.3701 Ca
0.0000 0.0000 0.6299 Ca
0.0000 0.0000 0.8145 Ca
0.5000 0.5000 0.5000 Pr
0.5000 0.5000 0.0917 Cd
0.5000 0.5000 0.2796 Cd
0.5000 0.5000 0.7204 Cd
0.5000 0.5000 0.9083 Cd

=====

[13]
CeIrSe2 (GGA-PBE, optimized geometry); total magnetization = 0.373 μB/atom; DOS(E_F) = 1.78 states/eV per atom; formation energy without anion corrections = -0.2742 eV/atom; space-group type = No. 166
1.0
3.7930 0.0000 0.0000
-1.8965 3.2848 0.0000
0.0000 0.0000 25.2173
Ce Ir Se
3 3 6
Direct
0.0000 0.0000 0.0000 Ce
0.3333 0.6667 0.6667 Ce
0.6667 0.3333 0.3333 Ce
0.0000 0.0000 0.5000 Ir
0.3333 0.6667 0.1667 Ir
0.6667 0.3333 0.8333 Ir
0.0000 0.0000 0.1174 Se
0.0000 0.0000 0.8826 Se
0.3333 0.6667 0.5493 Se
0.3333 0.6667 0.7840 Se
0.6667 0.3333 0.2160 Se
0.6667 0.3333 0.4507 Se